No. 1
Here is a relaxed AcZn3Au crystal from Alexandria. Energies are from PBE-GGA.

Summary:
Relative energy among the computed polymorphs ... 131.1 meV/atom
Crystal system ... hexagonal
Energy of formation from the pure elements ... -304.0 meV per atom

a b c (Å): 6.5577 6.5577 5.8686
angles (deg): 90.00 90.00 120.00
Space group P6_3/mmc (No. 194)
Unique sites:
Ac 0.3333 0.6667 0.2500 x2
Zn 0.1969 0.3937 0.7500 x6
Au 0.0000 0.0000 0.0000 x2



No. 2
Here is a relaxed AcZnAu crystal from Alexandria. Energies are from PBE-GGA.

Summary:
Relative energy among the computed polymorphs ... 16.0 meV/atom
Crystal system ... monoclinic
Energy of formation from the pure elements ... -632.9 meV per atom

a b c (Å): 11.4891 4.6893 8.0324
angles (deg): 90.00 134.32 90.00
Space group C2/m (No. 12)
Unique sites:
Ac 0.0006 0.0000 0.2569 x4
Zn 0.1595 0.5000 0.1588 x4
Au 0.1793 0.5000 0.6799 x4



No. 3
Here is a relaxed AcZnAu crystal from Alexandria. Energies are from PBE-GGA.

Summary:
Relative energy among the computed polymorphs ... 290.9 meV/atom
Crystal system ... orthorhombic
Energy of formation from the pure elements ... -357.9 meV per atom

a b c (Å): 8.3827 11.8079 13.0593
angles (deg): 90.00 90.00 90.00
Space group Fddd (No. 70, origin choice 2)
Unique sites:
Ac 0.0000 0.0000 0.0000 x16
Zn 0.1250 0.2521 0.6250 x16
Au 0.1250 0.1250 0.4542 x16



No. 4
Here is a relaxed Ac6Zn5Au crystal from Alexandria. Energies are from PBE-GGA.

Summary:
Crystal system ... orthorhombic
Energy of formation from the pure elements ... -333.0 meV per atom

a b c (Å): 5.5250 16.5936 7.8360
angles (deg): 90.00 90.00 90.00
Space group Cmmm (No. 65)
Unique sites:
Ac 0.0000 0.0000 0.2505 x4
Ac 0.0000 0.3343 0.2479 x8
Zn 0.0000 0.1689 0.0000 x4
Zn 0.0000 0.1728 0.5000 x4
Zn 0.0000 0.5000 0.0000 x2
Au 0.0000 0.5000 0.5000 x2



No. 5
Here is a relaxed Ac2Zn3Au crystal from Alexandria. Energies are from PBE-GGA.

Summary:
Crystal system ... orthorhombic
Energy of formation from the pure elements ... -469.5 meV per atom

a b c (Å): 7.9597 9.3972 16.3596
angles (deg): 90.00 90.00 90.00
Space group Fmmm (No. 69)
Unique sites:
Ac 0.2421 0.0000 0.0000 x8
Ac 0.2500 0.2500 0.2500 x8
Zn 0.0000 0.0000 0.3371 x8
Zn 0.0000 0.2449 0.4180 x16
Au 0.0000 0.0000 0.1680 x8



No. 6
Here is a relaxed Ac4ZnAu2 crystal from Alexandria. Energies are from PBE-GGA.

Summary:
Crystal system ... tetragonal
Energy of formation from the pure elements ... -454.5 meV per atom

a b c (Å): 7.7583 7.7583 7.7986
angles (deg): 90.00 90.00 90.00
Space group I4/mmm (No. 139)
Unique sites:
Ac 0.2500 0.2500 0.2500 x8
Zn 0.0000 0.0000 0.0000 x2
Au 0.0000 0.5000 0.0000 x4